The following is a DFT calculation (meta-GGA SCAN) of YHg2Br at its PBEsol-relaxed geometry.

abc: 3.678 5.088 5.430
angles: 90.00 90.00 90.00
Atoms (fractional coordinates):
Y 0.000 0.000 0.000
Hg 0.500 0.000 0.480
Hg 0.500 0.500 0.762
Br 0.000 0.500 0.230

Summary:
- Formation energy (no corrections): -66.08 kJ per mole of atoms